DFT (PBE-GGA) results for MnBeB2Cl after structural relaxation.

Calculated values
- DOS(E_F) (states/eV per cell) = 3.383
- symmetry = P4/mmm
- energy (eV/cell) = -22.1

The structure in POSCAR format:
```
MnBeB2Cl
1.0
3.781 0.000 0.000
0.000 3.781 0.000
0.000 0.000 4.921
Mn Be B Cl
1 1 2 1
Direct
0.000 0.000 0.000
0.000 0.000 0.500
0.000 0.500 0.000
0.500 0.000 0.000
0.500 0.500 0.500
```